No. 1
{
  "formula": "CaHf2Os",
  "functional": "PBE",
  "state": "relaxed",
  "cell": [[-3.513, -2.161, -2.535], [-3.849, 2.547, -1.460], [-0.582, 1.030, -4.694]],
  "species": ["Hf", "Hf", "Ca", "Os"],
  "frac_coords": [[0.250, 0.250, 0.250], [0.750, 0.750, 0.750], [0.000, 0.000, 0.000], [0.500, 0.500, 0.500]],
  "rho_g_cm3": 12.16,
  "ef_ev_per_atom": 0.1026,
  "de_polymorph_mev_per_atom": 0,
  "sg": "Fm-3m"
}



No. 2
{
  "formula": "Y2ZrFeCl",
  "functional": "PBE",
  "state": "relaxed",
  "cell": [[-4.960, 1.632, 1.723], [0.187, -2.716, 3.110], [2.360, 3.810, 3.186]],
  "species": ["Y", "Y", "Fe", "Zr", "Cl"],
  "frac_coords": [[0.000, 0.000, 0.500], [0.500, 0.000, 0.000], [0.000, 0.000, 0.000], [0.500, 0.500, 0.500], [0.000, 0.500, 0.000]],
  "rho_g_cm3": 4.79,
  "raw_formation_energy_ev_per_atom": 0.419,
  "sg": "P4/mmm"
}



No. 3
{
  "formula": "RePIr2",
  "functional": "PBE",
  "state": "relaxed",
  "cell": [[2.743, -1.851, 3.588], [3.280, 0.903, 3.500], [-3.238, 0.724, 2.898]],
  "species": ["Re", "P", "Ir", "Ir"],
  "frac_coords": [[0.000, 0.000, 0.000], [0.500, 0.500, 0.500], [0.277, 0.277, 0.753], [0.723, 0.723, 0.247]],
  "rho_g_cm3": 17.28,
  "ef_ev_per_atom": 0.0333,
  "sg": "C2/m"
}



No. 4
{
  "formula": "CaCoCl",
  "functional": "PBE",
  "state": "relaxed",
  "cell": [[-1.669, 2.914, 3.536], [-4.702, 1.290, 0.080], [-2.960, -1.788, 3.438]],
  "species": ["Ca", "Co", "Cl"],
  "frac_coords": [[0.750, 0.750, 0.750], [0.500, 0.500, 0.500], [0.000, 0.000, 0.000]],
  "rho_g_cm3": 2.72,
  "raw_formation_energy_ev_per_atom": -0.030,
  "sg": "F-43m"
}